Entry 1:
The following is a DFT calculation (PBE-GGA) of TlRuBr2 after structural relaxation.

extended XYZ file:
```
4
Lattice="-1.2790 3.5026 0.5266 0.2313 -1.6219 -3.3907 -8.8155 -3.3711 1.0111" Properties=species:S:1:pos:R:3 pbc="T T T"
Br -3.3987 -0.1590 -1.1024
Tl -6.8958 -1.4963 -0.7013
Br -8.3712 -3.2012 0.9601
Ru -4.4198 -1.6902 0.5069
```

Results
Formation energy without anion corrections, eV per atom: 0.26
Energy above the lowest structure with this stoichiometry, meV/atom: 333.9
DOS at the Fermi energy, states/eV/atom: 0.735
Total DFT energy (no corrections), eV/f.u.: -13.95
SG: Cmm2, No. 35


Entry 2:
The following is a DFT calculation (PBE-GGA) of Tl2RuBr after structural relaxation.

extended XYZ file:
```
4
Lattice="-4.5586 0.4362 6.1049 -5.7135 -2.1057 4.6004 1.7526 -2.6530 3.1369" Properties=species:S:1:pos:R:3 pbc="T T T"
Tl 0.8375 -2.5794 3.7149
Tl -3.3447 -2.2348 6.3431
Ru -6.3897 -3.2418 10.3817
Br -2.1299 -1.0806 3.4606
```

Results
Formation energy without anion corrections, eV per atom: 0.37
Energy above the lowest structure with this stoichiometry, meV/atom: 123.9
DOS at the Fermi energy, states/eV/atom: 0.653
Total DFT energy (no corrections), eV/f.u.: -14.21
SG: Immm, No. 71


Entry 3:
The following is a DFT calculation (PBE-GGA) of Tl2RuBr after structural relaxation.

extended XYZ file:
```
8
Lattice="-3.2825 -3.3768 -4.4109 4.5070 1.3761 -4.4076 4.1669 -6.8273 -2.5937" Properties=species:S:1:pos:R:3 pbc="T T T"
Tl -0.6994 -3.9055 -4.2960
Tl 3.2371 -5.9767 -4.9126
Tl 3.7012 -1.0087 -3.6147
Br 0.6122 -1.0003 -4.4092
Ru 0.0000 0.0000 0.0000
Ru 0.7483 -5.6022 -5.7069
Br 4.6430 -3.2257 -5.7052
Tl 4.5438 -6.7650 -10.0010
```

Results
Formation energy without anion corrections, eV per atom: 0.52
Energy above the lowest structure with this stoichiometry, meV/atom: 282.2
DOS at the Fermi energy, states/eV/atom: 0.124
Total DFT energy (no corrections), eV/f.u.: -13.58
SG: I-42d, No. 122


Entry 4:
The following is a DFT calculation (PBE-GGA) of TlRu2Br after structural relaxation.

extended XYZ file:
```
4
Lattice="-0.5537 2.6708 1.5460 -2.3065 -1.9709 -0.7910 0.9931 -4.2562 7.7087" Properties=species:S:1:pos:R:3 pbc="T T T"
Ru 0.5064 -2.1705 3.9311
Ru 0.9832 -4.2138 7.6319
Tl -1.1818 -0.7141 2.3046
Br -0.6853 -2.8422 6.1590
```

Results
Formation energy without anion corrections, eV per atom: 0.92
Energy above the lowest structure with this stoichiometry, meV/atom: 525.5
DOS at the Fermi energy, states/eV/atom: 1.206
Total DFT energy (no corrections), eV/f.u.: -18.92
SG: Cmmm, No. 65


Entry 5:
The following is a DFT calculation (PBE-GGA) of TlRu2Br after structural relaxation.

extended XYZ file:
```
4
Lattice="-0.6977 -0.4690 -3.9903 1.6370 -2.8087 0.0439 -5.1193 -2.9645 1.2435" Properties=species:S:1:pos:R:3 pbc="T T T"
Ru -1.0552 -3.4286 0.5875
Tl -1.2194 -1.6778 -1.6733
Ru 0.9511 -2.2667 0.1001
Br -2.9605 -4.5644 -1.0295
```

Results
Formation energy without anion corrections, eV per atom: 0.77
Energy above the lowest structure with this stoichiometry, meV/atom: 382.0
DOS at the Fermi energy, states/eV/atom: 0.846
Total DFT energy (no corrections), eV/f.u.: -19.49
SG: Pmmm, No. 47


Entry 6:
The following is a DFT calculation (PBE-GGA) of TlRu2Br after structural relaxation.

extended XYZ file:
```
4
Lattice="-1.6414 -6.1105 2.5327 -2.4348 -5.7720 -2.6838 4.4814 5.0961 0.6275" Properties=species:S:1:pos:R:3 pbc="T T T"
Br 0.0097 -3.2928 -1.0657
Ru 0.2792 -3.8329 1.5378
Ru -3.8518 -11.2284 -0.1428
Tl -2.1461 -6.2561 -0.0796
```

Results
Formation energy without anion corrections, eV per atom: 0.76
Energy above the lowest structure with this stoichiometry, meV/atom: 370.2
DOS at the Fermi energy, states/eV/atom: 0.887
Total DFT energy (no corrections), eV/f.u.: -19.54
SG: Imm2, No. 44


Entry 7:
The following is a DFT calculation (PBE-GGA) of Tl3RuBr after structural relaxation.

extended XYZ file:
```
5
Lattice="5.9702 0.0000 0.0000 0.0000 5.9702 0.0000 0.0000 0.0000 5.9702" Properties=species:S:1:pos:R:3 pbc="T T T"
Br 0.0000 0.0000 0.0000
Tl 2.9851 0.0000 0.0000
Ru 2.9851 2.9851 2.9851
Tl 0.0000 2.9851 0.0000
Tl 0.0000 0.0000 2.9851
```

Results
Formation energy without anion corrections, eV per atom: 1.01
Energy above the lowest structure with this stoichiometry, meV/atom: 1071.4
DOS at the Fermi energy, states/eV/atom: 0.972
Total DFT energy (no corrections), eV/f.u.: -12.97
SG: Pm-3m, No. 221


Entry 8:
The following is a DFT calculation (PBE-GGA) of TlRu2Br after structural relaxation.

extended XYZ file:
```
4
Lattice="4.7729 0.0000 0.0000 2.3865 4.1335 0.0000 2.3865 1.3778 3.8971" Properties=species:S:1:pos:R:3 pbc="T T T"
Ru 7.1594 4.1335 2.9228
Br 4.7729 2.7557 1.9485
Ru 0.0000 0.0000 0.0000
Tl 2.3865 1.3778 0.9743
```

Results
Formation energy without anion corrections, eV per atom: 1.09
Energy above the lowest structure with this stoichiometry, meV/atom: 699.9
DOS at the Fermi energy, states/eV/atom: 0.695
Total DFT energy (no corrections), eV/f.u.: -18.22
SG: F-43m, No. 216


Entry 9:
The following is a DFT calculation (PBE-GGA) of TlRuBr2 after structural relaxation.

extended XYZ file:
```
4
Lattice="8.7741 -0.0154 -0.0092 7.9794 3.6488 -0.0092 7.9794 1.7305 3.2124" Properties=species:S:1:pos:R:3 pbc="T T T"
Tl 18.8187 4.0814 2.4303
Ru 12.4938 2.7096 1.6135
Br 0.3521 0.0764 0.0455
Br 5.4345 1.1786 0.7018
```

Results
Formation energy without anion corrections, eV per atom: 0.12
Energy above the lowest structure with this stoichiometry, meV/atom: 194.7
DOS at the Fermi energy, states/eV/atom: 0.816
Total DFT energy (no corrections), eV/f.u.: -14.50
SG: R3m, No. 160


Entry 10:
The following is a DFT calculation (PBE-GGA) of TlRuBr2 after structural relaxation.

extended XYZ file:
```
4
Lattice="6.9593 0.4885 0.0312 3.5049 6.0321 -0.0312 -4.4931 -4.4462 2.9521" Properties=species:S:1:pos:R:3 pbc="T T T"
Br 6.2811 3.9140 0.0000
Tl 2.1219 2.4231 1.4604
Br 9.4152 5.8669 0.0000
Ru 3.8491 -0.3487 1.4916
```

Results
Formation energy without anion corrections, eV per atom: 0.02
Energy above the lowest structure with this stoichiometry, meV/atom: 98.1
DOS at the Fermi energy, states/eV/atom: 0.716
Total DFT energy (no corrections), eV/f.u.: -14.89
SG: Immm, No. 71


Entry 11:
The following is a DFT calculation (PBE-GGA) of Tl2RuBr after structural relaxation.

extended XYZ file:
```
4
Lattice="-1.4931 -0.6994 3.4517 3.4563 0.4539 1.5870 -1.4587 7.7929 0.9480" Properties=species:S:1:pos:R:3 pbc="T T T"
Br -0.6667 3.5620 0.4333
Ru -0.3519 7.0013 3.3860
Tl -1.2803 6.8401 0.8321
Tl 0.6154 1.8334 2.7573
```

Results
Formation energy without anion corrections, eV per atom: 0.29
Energy above the lowest structure with this stoichiometry, meV/atom: 42.8
DOS at the Fermi energy, states/eV/atom: 0.191
Total DFT energy (no corrections), eV/f.u.: -14.54
SG: P4mm, No. 99


Entry 12:
The following is a DFT calculation (PBE-GGA) of TlRuBr2 after structural relaxation.

extended XYZ file:
```
4
Lattice="-3.3892 1.5951 -0.7859 -2.6166 -5.6823 -0.2489 -2.7116 -3.6360 4.3142" Properties=species:S:1:pos:R:3 pbc="T T T"
Tl -5.2257 -5.3778 2.3013
Ru -2.5752 -4.5037 1.9648
Br -0.1298 -0.2270 0.0991
Br -3.4508 -2.2739 0.9469
```

Results
Formation energy without anion corrections, eV per atom: 0.09
Energy above the lowest structure with this stoichiometry, meV/atom: 167.3
DOS at the Fermi energy, states/eV/atom: 0.697
Total DFT energy (no corrections), eV/f.u.: -14.61
SG: Amm2, No. 38